! PH4Au, relaxed, DFT PBE-GGA; values from VASP
&SYSTEM
  ibrav = 0, nat = 12, ntyp = 3
/
ATOMIC_SPECIES
P 30.97 P.upf
H 1.01 H.upf
Au 196.97 Au.upf
ATOMIC_POSITIONS crystal
P 0.375 0.625 0.750
P 0.625 0.375 0.250
H 0.267 0.309 0.542
H 0.267 0.725 0.958
H 0.275 0.733 0.542
H 0.309 0.267 0.042
H 0.691 0.733 0.958
H 0.725 0.267 0.458
H 0.733 0.275 0.042
H 0.733 0.691 0.458
Au 0.125 0.875 0.250
Au 0.875 0.125 0.750
CELL_PARAMETERS angstrom
-2.956 2.956 3.961
2.956 -2.956 3.961
2.956 2.956 -3.961
! - Energy: -3.431 eV per atom